No. 1
Computed, not measured: a crystal of ScSiMo2 relaxed with PBEsol at the SCAN level of DFT.

Cell: 2.805 2.805 8.505 Å, 90.00 90.00 108.43°
Element x y z (fractional)
1 Si 0.500 0.500 0.235
2 Mo 0.000 0.000 0.010
3 Mo 0.500 0.500 0.762
4 Sc 0.000 0.000 0.493

Properties
* N(E_F): 0.944 states/eV per atom
* energy relative to the elements, uncorrected: -0.009 eV/atom
* size of the total moment: 0.0 μB per formula unit
* space group: Cmm2, No. 35
* E_tot: -23.515 eV per atom

---

No. 2
Computed, not measured: a crystal of MgNiBr relaxed with PBEsol at the SCAN level of DFT.

Cell: 3.373 4.164 4.164 Å, 120.00 90.00 90.00°
Element x y z (fractional)
1 Mg 0.000 0.333 0.667
2 Ni 0.500 0.667 0.333
3 Br 0.500 0.000 0.000

Properties
* N(E_F): 0.419 states/eV per atom
* energy relative to the elements, uncorrected: 0.104 eV/atom
* size of the total moment: 0.0 μB per formula unit
* space group: P-6m2, No. 187
* E_tot: -13.432 eV per atom

---

No. 3
Computed, not measured: a crystal of Hg2Te relaxed with PBEsol at the SCAN level of DFT.

Cell: 7.090 7.090 7.090 Å, 90.00 90.00 90.00°
Element x y z (fractional)
1 Hg 0.384 0.116 0.884
2 Hg 0.616 0.616 0.616
3 Hg 0.384 0.384 0.384
4 Te 0.500 0.500 0.000
5 Hg 0.884 0.384 0.116
6 Te 0.500 0.000 0.500
7 Te 0.000 0.000 0.000
8 Hg 0.116 0.616 0.884
9 Hg 0.884 0.116 0.616
10 Hg 0.116 0.884 0.384
11 Te 0.000 0.500 0.500
12 Hg 0.616 0.884 0.116

Properties
* N(E_F): 0.071 states/eV per atom
* energy relative to the elements, uncorrected: -0.040 eV/atom
* size of the total moment: 0.0 μB per formula unit
* offset from the most stable computed form: 0.000 eV/atom
* space group: Pa-3, No. 205
* E_tot: -57.901 eV per atom

---

No. 4
Computed, not measured: a crystal of Mg3TlI relaxed with PBEsol at the SCAN level of DFT.

Cell: 5.643 5.643 5.643 Å, 90.00 90.00 90.00°
Element x y z (fractional)
1 I 0.000 0.000 0.000
2 Mg 0.000 0.500 0.000
3 Mg 0.000 0.000 0.500
4 Tl 0.500 0.500 0.500
5 Mg 0.500 0.000 0.000

Properties
* N(E_F): 0.659 states/eV per atom
* energy relative to the elements, uncorrected: 0.616 eV/atom
* size of the total moment: 0.0 μB per formula unit
* space group: Pm-3m, No. 221
* E_tot: -24.189 eV per atom

---

No. 5
Computed, not measured: a crystal of RuSF3 relaxed with PBEsol at the SCAN level of DFT.

Cell: 4.080 4.080 4.080 Å, 90.00 90.00 90.00°
Element x y z (fractional)
1 F 0.000 0.500 0.000
2 F 0.000 0.000 0.500
3 Ru 0.000 0.000 0.000
4 S 0.500 0.500 0.500
5 F 0.500 0.000 0.000

Properties
* N(E_F): 0.662 states/eV per atom
* energy relative to the elements, uncorrected: -0.694 eV/atom
* size of the total moment: 3.0 μB per formula unit
* space group: Pm-3m, No. 221
* E_tot: -11.709 eV per atom

---

No. 6
Computed, not measured: a crystal of BaBeHg2 relaxed with PBEsol at the SCAN level of DFT.

Cell: 5.196 5.196 5.196 Å, 60.00 60.00 60.00°
Element x y z (fractional)
1 Hg 0.000 0.000 0.000
2 Be 0.250 0.250 0.250
3 Hg 0.750 0.750 0.750
4 Ba 0.500 0.500 0.500

Properties
* N(E_F): 0.516 states/eV per atom
* formation energy from the elements: 109 meV/atom
* size of the total moment: 0.0 μB per formula unit
* space group: F-43m, No. 216
* E_tot: -44.950 eV per atom

---

No. 7
Computed, not measured: a crystal of Zr2Co2Ni relaxed with PBEsol at the SCAN level of DFT.

Cell: 3.566 6.401 6.401 Å, 90.00 90.00 90.00°
Element x y z (fractional)
1 Ni 0.000 0.500 0.500
2 Zr 0.500 0.320 0.180
3 Co 0.000 0.626 0.126
4 Zr 0.500 0.680 0.820
5 Ni 0.000 0.000 0.000
6 Co 0.000 0.126 0.374
7 Co 0.000 0.874 0.626
8 Co 0.000 0.374 0.874
9 Zr 0.500 0.180 0.680
10 Zr 0.500 0.820 0.320

Properties
* N(E_F): 0.756 states/eV per atom
* formation energy from the elements: -211 meV/atom
* size of the total moment: 1.0 μB per formula unit
* space group: P4/mbm, No. 127
* E_tot: -22.646 eV per atom

---

No. 8
Computed, not measured: a crystal of BaZr2Mo relaxed with PBEsol at the SCAN level of DFT.

Cell: 3.137 3.137 10.607 Å, 90.00 90.00 114.86°
Element x y z (fractional)
1 Zr 0.000 0.000 0.028
2 Mo 0.500 0.500 0.215
3 Ba 0.000 0.000 0.471
4 Zr 0.500 0.500 0.787

Properties
* N(E_F): 1.422 states/eV per atom
* formation energy from the elements: 680 meV/atom
* size of the total moment: 0.0 μB per formula unit
* offset from the most stable computed form: 0.000 eV/atom
* space group: Cmm2, No. 35
* E_tot: -33.278 eV per atom

---

No. 9
Computed, not measured: a crystal of CaScTe2 relaxed with PBEsol at the SCAN level of DFT.

Cell: 4.106 4.323 6.673 Å, 90.00 107.92 90.00°
Element x y z (fractional)
1 Te 0.008 0.000 0.016
2 Ca 0.506 0.500 0.011
3 Te 0.755 0.500 0.510
4 Sc 0.231 0.000 0.462

Properties
* N(E_F): 0.744 states/eV per atom
* energy relative to the elements, uncorrected: -1.267 eV/atom
* size of the total moment: 0.0 μB per formula unit
* offset from the most stable computed form: 0.214 eV/atom
* space group: Amm2, No. 38
* E_tot: -25.868 eV per atom

---

No. 10
Computed, not measured: a crystal of LaSeBr2 relaxed with PBEsol at the SCAN level of DFT.

Cell: 4.513 4.513 5.758 Å, 113.07 113.07 90.00°
Element x y z (fractional)
1 Se 0.250 0.750 0.500
2 Br 0.750 0.250 0.500
3 Br 0.000 0.000 0.000
4 La 0.500 0.500 0.000

Properties
* N(E_F): 0.536 states/eV per atom
* energy relative to the elements, uncorrected: -1.400 eV/atom
* size of the total moment: 0.0 μB per formula unit
* offset from the most stable computed form: 0.000 eV/atom
* space group: I-4m2, No. 119
* E_tot: -26.926 eV per atom

---

No. 11
Computed, not measured: a crystal of Ba2ScCdF relaxed with PBEsol at the SCAN level of DFT.

Cell: 3.990 6.691 6.691 Å, 90.00 90.00 90.00°
Element x y z (fractional)
1 Cd 0.500 0.500 0.500
2 Ba 0.000 0.000 0.500
3 Sc 0.000 0.000 0.000
4 F 0.500 0.000 0.000
5 Ba 0.000 0.500 0.000

Properties
* N(E_F): 1.294 states/eV per atom
* energy relative to the elements, uncorrected: -0.715 eV/atom
* size of the total moment: 0.8 μB per formula unit
* space group: P4/mmm, No. 123
* E_tot: -26.173 eV per atom

---

No. 12
Computed, not measured: a crystal of OsPt3 relaxed with PBEsol at the SCAN level of DFT.

Cell: 2.742 2.742 7.819 Å, 90.00 90.00 90.00°
Element x y z (fractional)
1 Pt 0.500 0.500 0.239
2 Pt 0.000 0.000 0.500
3 Pt 0.500 0.500 0.761
4 Os 0.000 0.000 0.000

Properties
* N(E_F): 0.907 states/eV per atom
* formation energy from the elements: 61 meV/atom
* size of the total moment: 0.0 μB per formula unit
* space group: P4/mmm, No. 123
* E_tot: -70.554 eV per atom

---

Which value of E_tot does entry 5 give? -11.709 eV per atom